A geometry-optimized Ta2MoAu structure. Source: Alexandria via LeMat-Bulk, functional PBE-GGA.

Lattice parameters (Å, degrees): 2.832 2.832 9.078 90.00 90.00 107.09
Fractional positions:
Ta: 0.000 0.000 0.243
Ta: 0.000 0.000 0.757
Mo: 0.500 0.500 0.000
Au: 0.500 0.500 0.500

Properties
- M_tot (μB per formula unit) = 0.00
- crystal system = orthorhombic
- E_form (meV per atom) = -56
- density of states at the Fermi level (states/eV/f.u.) = 2.20
- calculated density (g cm⁻³) = 15.6